Cu2TcHg | SCAN | PBEsol geometry

The structure in CIF format:
```
data_Cu2TcHg
_chemical_formula_sum 'Cu6 Tc3 Hg3'
_symmetry_space_group_name_H-M 'R 3 m'
_symmetry_Int_Tables_number 160
_symmetry_space_group_name_Hall 'R 3 -2"'
_cell_length_a 2.7467
_cell_length_b 2.7467
_cell_length_c 26.4318
_cell_angle_alpha 90.00
_cell_angle_beta 90.00
_cell_angle_gamma 120.00
loop_
_atom_site_label
_atom_site_fract_x
_atom_site_fract_y
_atom_site_fract_z
_atom_site_occupancy
Cu1 0.0000 0.0000 0.0000 1
Cu2 0.0000 0.0000 0.2603 1
Tc1 0.0000 0.0000 0.5157 1
Hg1 0.0000 0.0000 0.7549 1
```

Summary:
The energy of formation comes out at 9.9 kcal/mol of atoms.